(w)
The following is a DFT calculation (GGA-PBE) of a relaxed structure of HfBeOs.

Properties
Density = 11.746 g/cm3
Total magnetization = 0.00 μB per cell
Space-group type = F-43m (216)

abc: 5.9777 5.9777 5.9777
angles: 90.00 90.00 90.00
Last column: nearest neighbours and their distance in Å.
Positions (direct):
Hf: 0.0000 0.0000 0.0000  4 Os 2.59
Hf: 0.0000 0.5000 0.5000  4 Os 2.59
Hf: 0.5000 0.0000 0.5000  4 Os 2.59
Hf: 0.5000 0.5000 0.0000  4 Os 2.59
Be: 0.0000 0.0000 0.5000  4 Os 2.59
Be: 0.0000 0.5000 0.0000  4 Os 2.59
Be: 0.5000 0.0000 0.0000  4 Os 2.59
Be: 0.5000 0.5000 0.5000  4 Os 2.59
Os: 0.2500 0.2500 0.7500  4 Hf 2.59, 4 Be 2.59
Os: 0.2500 0.7500 0.2500  4 Hf 2.59, 4 Be 2.59
Os: 0.7500 0.2500 0.2500  4 Hf 2.59, 4 Be 2.59
Os: 0.7500 0.7500 0.7500  4 Hf 2.59, 4 Be 2.59

(x)
The following is a DFT calculation (GGA-PBE) of a relaxed structure of HfBeOs.

Properties
Density = 11.324 g/cm3
Total magnetization = 0.01 μB per cell
Space-group type = F-43m (216)

abc: 6.0510 6.0510 6.0510
angles: 90.00 90.00 90.00
Last column: nearest neighbours and their distance in Å.
Positions (direct):
Hf: 0.0000 0.0000 0.0000  4 Be 2.62, 4 Os 2.62
Hf: 0.0000 0.5000 0.5000  4 Be 2.62, 4 Os 2.62
Hf: 0.5000 0.0000 0.5000  4 Be 2.62, 4 Os 2.62
Hf: 0.5000 0.5000 0.0000  4 Be 2.62, 4 Os 2.62
Be: 0.2500 0.2500 0.7500  4 Hf 2.62
Be: 0.2500 0.7500 0.2500  4 Hf 2.62
Be: 0.7500 0.2500 0.2500  4 Hf 2.62
Be: 0.7500 0.7500 0.7500  4 Hf 2.62
Os: 0.2500 0.2500 0.2500  4 Hf 2.62
Os: 0.2500 0.7500 0.7500  4 Hf 2.62
Os: 0.7500 0.2500 0.7500  4 Hf 2.62
Os: 0.7500 0.7500 0.2500  4 Hf 2.62

Which of them is the most stable, and which is the least stable? (w) and (x), in that order.